VASP calculation (PBE-GGA) on a relaxed AgP2 crystal.

The value obtained for the polymorph energy (0 for the lowest one) is 592 meV per atom. As for the calculated formation energy: 592 meV per atom.

The structure belongs to space group Fd-3m (No. 227, origin choice 2); the cell edges are 7.3766, 7.3766 and 7.3766 Å and the angles 90.00°, 90.00° and 90.00°. The asymmetric unit holds Ag at (0.1250, 0.1250, 0.1250) and P at (0.0000, 0.0000, 0.5000).


VASP calculation (PBE-GGA) on a relaxed ErMg2MoH8 crystal.

The calculation puts the total energy at -4.0318 eV per atom.

The structure belongs to space group I-4m2 (No. 119); the cell edges are 4.7315, 4.7315 and 9.2135 Å and the angles 90.00°, 90.00° and 90.00°. The asymmetric unit holds Er at (0.0000, 0.0000, 0.0000), Mg at (0.0000, 0.0000, 0.5000), Mg at (0.0000, 0.5000, 0.7500), Mo at (0.0000, 0.5000, 0.2500) and H at (0.2296, 0.2572, 0.3627).